Entry 1:
This record from Alexandria describes a geometry-optimized HfGa2Ru structure. The functional is PBE.

Cell lengths 3.9250, 3.9250, 4.2164 Å; angles 90.00, 90.00, 90.00 degrees
Atoms (fractional coordinates):
Hf (0.0000, 0.0000, 0.0000)
Ga (0.0000, 0.5000, 0.5000)
Ga (0.5000, 0.0000, 0.5000)
Ru (0.5000, 0.5000, 0.0000)

Properties
- Volume: 16.2 Å³/atom
- N(E_F): 2.6 states/eV/f.u.
- Formation enthalpy at 0 K: -363 meV/atom
- Space-group type: No. 123

Entry 2:
This record from Alexandria describes a geometry-optimized Hf5GaRu4 structure. The functional is PBE.

Cell lengths 3.2621, 3.2621, 16.3339 Å; angles 90.00, 90.00, 90.00 degrees
Atoms (fractional coordinates):
Hf (0.0000, 0.0000, 0.0000)
Hf (0.0000, 0.0000, 0.1977)
Hf (0.0000, 0.0000, 0.3937)
Hf (0.0000, 0.0000, 0.6063)
Hf (0.0000, 0.0000, 0.8023)
Ga (0.5000, 0.5000, 0.5000)
Ru (0.5000, 0.5000, 0.0990)
Ru (0.5000, 0.5000, 0.2983)
Ru (0.5000, 0.5000, 0.7017)
Ru (0.5000, 0.5000, 0.9010)

Properties
- Volume: 17.4 Å³/atom
- N(E_F): 5.0 states/eV/f.u.
- Formation enthalpy at 0 K: -699 meV/atom
- Space-group type: No. 123

Entry 3:
This record from Alexandria describes a geometry-optimized Hf3Ga6Ru structure. The functional is PBE.

Cell lengths 7.0806, 7.0806, 7.0806 Å; angles 95.82, 95.82, 95.82 degrees
Atoms (fractional coordinates):
Hf (0.1787, 0.7500, 0.3213)
Hf (0.2500, 0.6787, 0.8213)
Hf (0.3213, 0.1787, 0.7500)
Hf (0.6787, 0.8213, 0.2500)
Hf (0.7500, 0.3213, 0.1787)
Hf (0.8213, 0.2500, 0.6787)
Ga (0.0082, 0.0895, 0.3552)
Ga (0.0895, 0.3552, 0.0082)
Ga (0.1448, 0.4105, 0.4918)
Ga (0.3552, 0.0082, 0.0895)
Ga (0.4105, 0.4918, 0.1448)
Ga (0.4918, 0.1448, 0.4105)
Ga (0.5082, 0.8552, 0.5895)
Ga (0.5895, 0.5082, 0.8552)
Ga (0.6448, 0.9918, 0.9105)
Ga (0.8552, 0.5895, 0.5082)
Ga (0.9105, 0.6448, 0.9918)
Ga (0.9918, 0.9105, 0.6448)
Ru (0.0000, 0.0000, 0.0000)
Ru (0.5000, 0.5000, 0.5000)

Properties
- Volume: 17.5 Å³/atom
- N(E_F): 5.7 states/eV/f.u.
- Formation enthalpy at 0 K: -411 meV/atom
- Space-group type: No. 167